1.
The following is a DFT calculation (PBE) of a relaxed OsPtSeBr2 crystal.

Computed properties:
E above lowest polymorph = 0 meV/atom

a = 5.1640 Å, b = 5.1640 Å, c = 4.6093 Å
α = 90.00°, β = 90.00°, γ = 90.00°
Sites, in units of the cell vectors:
Os: 0.0000 0.0000 0.0000
Pt: 0.5000 0.5000 0.5000
Se: 0.0000 0.0000 0.5000
Br: 0.0000 0.5000 0.0000
Br: 0.5000 0.0000 0.0000

***

2.
The following is a DFT calculation (PBE) of a relaxed SnOs2PtBr crystal.

Computed properties:
Electronic total energy = -23.4 eV/cell

a = 4.5257 Å, b = 4.5257 Å, c = 5.3426 Å
α = 90.00°, β = 90.00°, γ = 90.00°
Sites, in units of the cell vectors:
Sn: 0.0000 0.0000 0.0000
Os: 0.0000 0.5000 0.5000
Os: 0.5000 0.0000 0.5000
Pt: 0.5000 0.5000 0.0000
Br: 0.0000 0.0000 0.5000

***

3.
The following is a DFT calculation (PBE) of a relaxed Os2PtWBr crystal.

Computed properties:
Electronic total energy = -30.7 eV/cell

a = 4.5084 Å, b = 4.5084 Å, c = 4.6193 Å
α = 90.00°, β = 90.00°, γ = 90.00°
Sites, in units of the cell vectors:
Os: 0.0000 0.5000 0.0000
Os: 0.5000 0.0000 0.0000
Pt: 0.0000 0.0000 0.5000
W: 0.5000 0.5000 0.5000
Br: 0.0000 0.0000 0.0000

***

4.
The following is a DFT calculation (PBE) of a relaxed Zn2OsPtBr crystal.

Computed properties:
Electronic total energy = -13.3 eV/cell

a = 4.6960 Å, b = 4.6960 Å, c = 4.5643 Å
α = 90.00°, β = 90.00°, γ = 90.00°
Sites, in units of the cell vectors:
Zn: 0.0000 0.5000 0.0000
Zn: 0.5000 0.0000 0.0000
Os: 0.0000 0.0000 0.5000
Pt: 0.5000 0.5000 0.5000
Br: 0.0000 0.0000 0.0000

***

5.
The following is a DFT calculation (PBE) of a relaxed RbOsBr6 crystal.

Computed properties:
Electronic total energy = -53.0 eV/cell

a = 8.5265 Å, b = 10.5931 Å, c = 6.8159 Å
α = 90.00°, β = 110.25°, γ = 90.00°
Sites, in units of the cell vectors:
Rb: 0.0000 0.0000 0.0000
Rb: 0.5000 0.5000 0.0000
Os: 0.0000 0.5000 0.5000
Os: 0.5000 0.0000 0.5000
Br: 0.1068 0.3342 0.7720
Br: 0.1068 0.6658 0.7720
Br: 0.2278 0.0000 0.5583
Br: 0.2722 0.5000 0.4417
Br: 0.3932 0.1658 0.2280
Br: 0.3932 0.8342 0.2280
Br: 0.6068 0.1658 0.7720
Br: 0.6068 0.8342 0.7720
Br: 0.7278 0.5000 0.5583
Br: 0.7722 0.0000 0.4417
Br: 0.8932 0.3342 0.2280
Br: 0.8932 0.6658 0.2280

***

6.
The following is a DFT calculation (PBE) of a relaxed Rb3Os2Br9 crystal.

Computed properties:
Electronic total energy = -103.4 eV/cell

a = 7.6076 Å, b = 7.6076 Å, c = 18.5600 Å
α = 90.00°, β = 90.00°, γ = 120.00°
Sites, in units of the cell vectors:
Rb: 0.0000 0.0000 0.2500
Rb: 0.0000 0.0000 0.7500
Rb: 0.3333 0.6667 0.0617
Rb: 0.3333 0.6667 0.4383
Rb: 0.6667 0.3333 0.5617
Rb: 0.6667 0.3333 0.9383
Os: 0.3333 0.6667 0.6768
Os: 0.3333 0.6667 0.8232
Os: 0.6667 0.3333 0.1768
Os: 0.6667 0.3333 0.3232
Br: 0.0068 0.5034 0.7500
Br: 0.1779 0.3557 0.5973
Br: 0.1779 0.3557 0.9027
Br: 0.1779 0.8221 0.5973
Br: 0.1779 0.8221 0.9027
Br: 0.3557 0.1779 0.0973
Br: 0.3557 0.1779 0.4027
Br: 0.4966 0.5034 0.7500
Br: 0.4966 0.9932 0.7500
Br: 0.5034 0.0068 0.2500
Br: 0.5034 0.4966 0.2500
Br: 0.6443 0.8221 0.5973
Br: 0.6443 0.8221 0.9027
Br: 0.8221 0.1779 0.0973
Br: 0.8221 0.1779 0.4027
Br: 0.8221 0.6443 0.0973
Br: 0.8221 0.6443 0.4027
Br: 0.9932 0.4966 0.2500

***

7.
The following is a DFT calculation (PBE) of a relaxed Rb2OsBr5 crystal.

Computed properties:
Electronic total energy = -55.7 eV/cell

a = 7.8076 Å, b = 7.8076 Å, c = 9.7573 Å
α = 90.00°, β = 90.00°, γ = 90.00°
Sites, in units of the cell vectors:
Rb: 0.0000 0.5000 0.0000
Rb: 0.0000 0.5000 0.5000
Rb: 0.5000 0.0000 0.0000
Rb: 0.5000 0.0000 0.5000
Os: 0.0000 0.0000 0.2716
Os: 0.5000 0.5000 0.7716
Br: 0.0000 0.0000 0.5178
Br: 0.2263 0.2263 0.2491
Br: 0.2263 0.7737 0.2491
Br: 0.2737 0.2737 0.7491
Br: 0.2737 0.7263 0.7491
Br: 0.5000 0.5000 0.0178
Br: 0.7263 0.2737 0.7491
Br: 0.7263 0.7263 0.7491
Br: 0.7737 0.2263 0.2491
Br: 0.7737 0.7737 0.2491

***

8.
The following is a DFT calculation (PBE) of a relaxed RbOs2Br8 crystal.

Computed properties:
Electronic total energy = -39.4 eV/cell

a = 5.2504 Å, b = 8.0382 Å, c = 9.3506 Å
α = 85.48°, β = 73.94°, γ = 89.84°
Sites, in units of the cell vectors:
Rb: 0.0000 0.0000 0.0000
Os: 0.3064 0.3760 0.3868
Os: 0.6936 0.6240 0.6132
Br: 0.2088 0.1517 0.5858
Br: 0.2094 0.5896 0.5816
Br: 0.4011 0.1648 0.1977
Br: 0.4032 0.6017 0.1883
Br: 0.5968 0.3983 0.8117
Br: 0.5989 0.8352 0.8023
Br: 0.7906 0.4104 0.4184
Br: 0.7912 0.8483 0.4142

***

9.
The following is a DFT calculation (PBE) of a relaxed Rb2OsBr crystal.

Computed properties:
Electronic total energy = -48.2 eV/cell

a = 8.5508 Å, b = 8.5508 Å, c = 8.5508 Å
α = 90.00°, β = 90.00°, γ = 90.00°
Sites, in units of the cell vectors:
Rb: 0.2500 0.2500 0.2500
Rb: 0.2500 0.2500 0.7500
Rb: 0.2500 0.7500 0.2500
Rb: 0.2500 0.7500 0.7500
Rb: 0.7500 0.2500 0.2500
Rb: 0.7500 0.2500 0.7500
Rb: 0.7500 0.7500 0.2500
Rb: 0.7500 0.7500 0.7500
Os: 0.0000 0.0000 0.0000
Os: 0.0000 0.5000 0.5000
Os: 0.5000 0.0000 0.5000
Os: 0.5000 0.5000 0.0000
Br: 0.0000 0.0000 0.5000
Br: 0.0000 0.5000 0.0000
Br: 0.5000 0.0000 0.0000
Br: 0.5000 0.5000 0.5000

***

10.
The following is a DFT calculation (PBE) of a relaxed RbOsBr5 crystal.

Computed properties:
Electronic total energy = -48.5 eV/cell

a = 8.2496 Å, b = 8.2496 Å, c = 9.6636 Å
α = 107.86°, β = 107.86°, γ = 59.10°
Sites, in units of the cell vectors:
Rb: 0.0181 0.9819 0.7500
Rb: 0.9819 0.0181 0.2500
Os: 0.5000 0.5000 0.0000
Os: 0.5000 0.5000 0.5000
Br: 0.1552 0.5846 0.4696
Br: 0.1581 0.5744 0.8913
Br: 0.4018 0.5982 0.2500
Br: 0.4154 0.8448 0.0304
Br: 0.4256 0.8419 0.6087
Br: 0.5744 0.1581 0.3913
Br: 0.5846 0.1552 0.9696
Br: 0.5982 0.4018 0.7500
Br: 0.8419 0.4256 0.1087
Br: 0.8448 0.4154 0.5304

***

11.
The following is a DFT calculation (PBE) of a relaxed Rb2ReOsBr6 crystal.

Computed properties:
Electronic total energy = -38.3 eV/cell

a = 7.4728 Å, b = 7.4728 Å, c = 7.4728 Å
α = 119.94°, β = 119.94°, γ = 90.11°
Sites, in units of the cell vectors:
Rb: 0.2500 0.7500 0.5000
Rb: 0.7500 0.2500 0.5000
Re: 0.0000 0.0000 0.0000
Os: 0.5000 0.5000 0.0000
Br: 0.2523 0.2523 0.0000
Br: 0.2521 0.2521 0.5043
Br: 0.2521 0.7479 0.0000
Br: 0.7479 0.2521 0.0000
Br: 0.7477 0.7477 0.0000
Br: 0.7479 0.7479 0.4957

***

12.
The following is a DFT calculation (PBE) of a relaxed RbRe2OsBr crystal.

Computed properties:
Electronic total energy = -17.1 eV/cell

a = 5.3373 Å, b = 5.3373 Å, c = 4.9300 Å
α = 90.00°, β = 90.00°, γ = 90.00°
Sites, in units of the cell vectors:
Rb: 0.0000 0.0000 0.0000
Re: 0.0000 0.5000 0.0000
Re: 0.5000 0.0000 0.0000
Os: 0.0000 0.0000 0.5000
Br: 0.5000 0.5000 0.5000